# 1
Compound: CaReH2
Source: the Alexandria database
Functional: PBE
Structure: optimized geometry

Calculated values
The space-group type is Fm-3m (225). The value obtained for the total energy is -16.9 eV per formula unit.

The structure in POSCAR format:
```
CaReH2
1.0
5.726 0.000 0.000
0.000 5.726 0.000
0.000 0.000 5.726
Ca Re H
4 4 8
direct
0.000 0.000 0.000
0.000 0.500 0.500
0.500 0.000 0.500
0.500 0.500 0.000
0.000 0.000 0.500
0.000 0.500 0.000
0.500 0.000 0.000
0.500 0.500 0.500
0.250 0.250 0.250
0.250 0.250 0.750
0.250 0.750 0.250
0.250 0.750 0.750
0.750 0.250 0.250
0.750 0.250 0.750
0.750 0.750 0.250
0.750 0.750 0.750
```

# 2
Compound: CaRe3H
Source: the Alexandria database
Functional: PBE
Structure: optimized geometry

Calculated values
The space-group type is Pm-3m (221). The value obtained for the total energy is -38.5 eV per formula unit.

The structure in POSCAR format:
```
CaRe3H
1.0
4.124 0.000 0.000
0.000 4.124 0.000
0.000 0.000 4.124
Ca Re H
1 3 1
direct
0.000 0.000 0.000
0.000 0.500 0.500
0.500 0.000 0.500
0.500 0.500 0.000
0.500 0.500 0.500
```

# 3
Compound: CaReH
Source: the Alexandria database
Functional: PBE
Structure: optimized geometry

Calculated values
The space-group type is P1 (1). The value obtained for the total energy is -17.7 eV per formula unit.

The structure in POSCAR format:
```
CaReH
1.0
4.174 0.000 0.000
-2.086 3.684 0.000
-2.071 -1.194 7.986
Ca Re H
2 2 2
direct
0.000 0.000 0.000
0.375 0.199 0.549
0.539 0.767 0.305
0.833 0.411 0.247
0.159 0.916 0.280
0.690 0.851 0.525
```

# 4
Compound: Ca2ReH
Source: the Alexandria database
Functional: PBE
Structure: optimized geometry

Calculated values
The space-group type is Fm-3m (225). The value obtained for the total energy is -15.7 eV per formula unit.

The structure in POSCAR format:
```
Ca2ReH
1.0
7.017 0.000 0.000
0.000 7.017 0.000
0.000 0.000 7.017
Ca Re H
8 4 4
direct
0.250 0.250 0.250
0.250 0.250 0.750
0.250 0.750 0.250
0.250 0.750 0.750
0.750 0.250 0.250
0.750 0.250 0.750
0.750 0.750 0.250
0.750 0.750 0.750
0.000 0.000 0.000
0.000 0.500 0.500
0.500 0.000 0.500
0.500 0.500 0.000
0.000 0.000 0.500
0.000 0.500 0.000
0.500 0.000 0.000
0.500 0.500 0.500
```

# 5
Compound: CaReH
Source: the Alexandria database
Functional: PBE
Structure: optimized geometry

Calculated values
The space-group type is P4/nmm (129). The value obtained for the total energy is -18.1 eV per formula unit.

The structure in POSCAR format:
```
CaReH
1.0
3.180 0.000 0.000
0.000 3.180 0.000
0.000 0.000 9.284
Ca Re H
2 2 2
direct
0.250 0.250 0.186
0.750 0.750 0.814
0.250 0.250 0.574
0.750 0.750 0.426
0.250 0.250 0.766
0.750 0.750 0.234
```

# 6
Compound: Ca3ReH
Source: the Alexandria database
Functional: PBE
Structure: optimized geometry

Calculated values
The space-group type is Pm-3m (221). The value obtained for the total energy is -19.7 eV per formula unit.

The structure in POSCAR format:
```
Ca3ReH
1.0
4.703 0.000 0.000
0.000 4.703 0.000
0.000 0.000 4.703
Ca Re H
3 1 1
direct
0.000 0.000 0.500
0.000 0.500 0.000
0.500 0.000 0.000
0.500 0.500 0.500
0.000 0.000 0.000
```

# 7
Compound: CaReH
Source: the Alexandria database
Functional: PBE
Structure: optimized geometry

Calculated values
The space-group type is P2_1/m (11). The value obtained for the total energy is -17.7 eV per formula unit.

The structure in POSCAR format:
```
CaReH
1.0
5.148 0.000 0.000
0.000 3.739 0.000
-1.977 0.000 5.566
Ca Re H
2 2 2
direct
0.127 0.250 0.269
0.873 0.750 0.731
0.445 0.250 0.868
0.555 0.750 0.132
0.107 0.250 0.662
0.893 0.750 0.338
```

# 8
Compound: CaRe3H
Source: the Alexandria database
Functional: PBE
Structure: optimized geometry

Calculated values
The space-group type is Pm-3m (221). The value obtained for the total energy is -22.3 eV per formula unit.

The structure in POSCAR format:
```
CaRe3H
1.0
4.620 0.000 0.000
0.000 4.620 0.000
0.000 0.000 4.620
Ca Re H
1 3 1
direct
0.000 0.000 0.000
0.000 0.000 0.500
0.000 0.500 0.000
0.500 0.000 0.000
0.500 0.500 0.500
```

# 9
Compound: CaRe2H
Source: the Alexandria database
Functional: PBE
Structure: optimized geometry

Calculated values
The space-group type is Fm-3m (225). The value obtained for the total energy is -21.6 eV per formula unit.

The structure in POSCAR format:
```
CaRe2H
1.0
6.244 0.000 0.000
0.000 6.244 0.000
0.000 0.000 6.244
Ca Re H
4 8 4
direct
0.000 0.000 0.000
0.000 0.500 0.500
0.500 0.000 0.500
0.500 0.500 0.000
0.250 0.250 0.250
0.250 0.250 0.750
0.250 0.750 0.250
0.250 0.750 0.750
0.750 0.250 0.250
0.750 0.250 0.750
0.750 0.750 0.250
0.750 0.750 0.750
0.000 0.000 0.500
0.000 0.500 0.000
0.500 0.000 0.000
0.500 0.500 0.500
```

# 10
Compound: CaReH2
Source: the Alexandria database
Functional: PBE
Structure: optimized geometry

Calculated values
The space-group type is I-42d (122). The value obtained for the total energy is -20.4 eV per formula unit.

The structure in POSCAR format:
```
CaReH2
1.0
5.114 0.000 0.000
0.000 5.114 0.000
0.000 0.000 7.060
Ca Re H
4 4 8
direct
0.000 0.000 0.000
0.000 0.500 0.250
0.500 0.000 0.750
0.500 0.500 0.500
0.000 0.000 0.500
0.000 0.500 0.750
0.500 0.000 0.250
0.500 0.500 0.000
0.181 0.750 0.625
0.250 0.181 0.375
0.250 0.319 0.875
0.319 0.750 0.125
0.681 0.250 0.125
0.750 0.681 0.875
0.750 0.819 0.375
0.819 0.250 0.625
```

# 11
Compound: CaReH
Source: the Alexandria database
Functional: PBE
Structure: optimized geometry

Calculated values
The space-group type is C2/m (12). The value obtained for the total energy is -18.0 eV per formula unit.

The structure in POSCAR format:
```
CaReH
1.0
7.233 0.000 0.000
0.000 4.164 0.000
-2.474 0.000 8.190
Ca Re H
4 4 4
direct
0.092 0.000 0.267
0.408 0.500 0.733
0.592 0.500 0.267
0.908 0.000 0.733
0.155 0.500 0.964
0.345 0.000 0.036
0.655 0.000 0.964
0.845 0.500 0.036
0.082 0.500 0.752
0.418 0.000 0.248
0.582 0.000 0.752
0.918 0.500 0.248
```

# 12
Compound: Ca3ReH
Source: the Alexandria database
Functional: PBE
Structure: optimized geometry

Calculated values
The space-group type is Pm-3m (221). The value obtained for the total energy is -16.9 eV per formula unit.

The structure in POSCAR format:
```
Ca3ReH
1.0
5.478 0.000 0.000
0.000 5.478 0.000
0.000 0.000 5.478
Ca Re H
3 1 1
direct
0.000 0.000 0.500
0.000 0.500 0.000
0.500 0.000 0.000
0.000 0.000 0.000
0.500 0.500 0.500
```

# 13
Compound: CaReH
Source: the Alexandria database
Functional: PBE
Structure: optimized geometry

Calculated values
The space-group type is Pmm2 (25). The value obtained for the total energy is -17.9 eV per formula unit.

The structure in POSCAR format:
```
CaReH
1.0
3.133 0.000 0.000
0.000 3.199 0.000
0.000 0.000 9.472
Ca Re H
2 2 2
direct
0.000 0.000 0.000
0.500 0.500 0.359
0.000 0.000 0.618
0.500 0.500 0.765
0.500 0.000 0.510
0.500 0.500 0.952
```

# 14
Compound: CaReH
Source: the Alexandria database
Functional: PBE
Structure: optimized geometry

Calculated values
The space-group type is R-3m (166). The value obtained for the total energy is -18.0 eV per formula unit.

The structure in POSCAR format:
```
CaReH
1.0
2.081 1.202 8.161
-2.081 1.202 8.161
0.000 -2.403 8.161
Ca Re H
2 2 2
direct
0.090 0.090 0.090
0.910 0.910 0.910
0.321 0.321 0.321
0.679 0.679 0.679
0.250 0.250 0.250
0.750 0.750 0.750
```

# 15
Compound: CaReH
Source: the Alexandria database
Functional: PBE
Structure: optimized geometry

Calculated values
The space-group type is Ama2 (40). The value obtained for the total energy is -17.7 eV per formula unit.

The structure in POSCAR format:
```
CaReH
1.0
3.796 0.000 0.000
0.000 11.221 0.000
0.000 0.000 5.051
Ca Re H
4 4 4
direct
0.250 0.136 0.000
0.250 0.636 0.500
0.750 0.364 0.500
0.750 0.864 0.000
0.250 0.437 0.004
0.250 0.937 0.504
0.750 0.063 0.504
0.750 0.563 0.004
0.250 0.326 0.754
0.250 0.826 0.254
0.750 0.174 0.254
0.750 0.674 0.754
```

# 16
Compound: CaRe2H
Source: the Alexandria database
Functional: PBE
Structure: optimized geometry

Calculated values
The space-group type is I4_1/amd (141). The value obtained for the total energy is -28.3 eV per formula unit.

The structure in POSCAR format:
```
CaRe2H
1.0
5.631 0.000 0.000
0.000 5.631 0.000
0.000 0.000 7.979
Ca Re H
4 8 4
direct
0.000 0.250 0.375
0.000 0.750 0.625
0.500 0.250 0.125
0.500 0.750 0.875
0.000 0.000 0.000
0.000 0.500 0.000
0.250 0.250 0.750
0.250 0.750 0.250
0.500 0.000 0.500
0.500 0.500 0.500
0.750 0.250 0.750
0.750 0.750 0.250
0.000 0.250 0.875
0.000 0.750 0.125
0.500 0.250 0.625
0.500 0.750 0.375
```

# 17
Compound: CaReH
Source: the Alexandria database
Functional: PBE
Structure: optimized geometry

Calculated values
The space-group type is Pmm2 (25). The value obtained for the total energy is -18.0 eV per formula unit.

The structure in POSCAR format:
```
CaReH
1.0
3.190 0.000 0.000
0.000 3.198 0.000
0.000 0.000 9.125
Ca Re H
2 2 2
direct
0.000 0.000 0.000
0.500 0.500 0.375
0.000 0.000 0.615
0.500 0.500 0.759
0.000 0.500 0.181
0.500 0.500 0.955
```

# 18
Compound: Ca2ReH
Source: the Alexandria database
Functional: PBE
Structure: optimized geometry

Calculated values
The space-group type is I-42d (122). The value obtained for the total energy is -16.8 eV per formula unit.

The structure in POSCAR format:
```
Ca2ReH
1.0
6.794 0.000 0.000
0.000 6.794 0.000
0.000 0.000 7.077
Ca Re H
8 4 4
direct
0.157 0.250 0.125
0.250 0.657 0.375
0.250 0.843 0.875
0.343 0.250 0.625
0.657 0.750 0.625
0.750 0.157 0.875
0.750 0.343 0.375
0.843 0.750 0.125
0.000 0.000 0.500
0.000 0.500 0.750
0.500 0.000 0.250
0.500 0.500 0.000
0.000 0.000 0.000
0.000 0.500 0.250
0.500 0.000 0.750
0.500 0.500 0.500
```

# 19
Compound: CaReHRu2
Source: the Alexandria database
Functional: PBE
Structure: optimized geometry

Calculated values
The space-group type is P4/mmm (123). The value obtained for the total energy is -33.7 eV per formula unit.

The structure in POSCAR format:
```
CaReHRu2
1.0
4.239 0.000 0.000
0.000 4.239 0.000
0.000 0.000 3.811
Ca Re H Ru
1 1 1 2
direct
0.000 0.000 0.000
0.500 0.500 0.000
0.500 0.500 0.500
0.000 0.500 0.500
0.500 0.000 0.500
```

# 20
Compound: CaReH2Se
Source: the Alexandria database
Functional: PBE
Structure: optimized geometry

Calculated values
The space-group type is P4/mmm (123). The value obtained for the total energy is -20.5 eV per formula unit.

The structure in POSCAR format:
```
CaReH2Se
1.0
3.809 0.000 0.000
0.000 3.809 0.000
0.000 0.000 6.776
Ca Re H Se
1 1 2 1
direct
0.000 0.000 0.000
0.000 0.000 0.500
0.000 0.500 0.000
0.500 0.000 0.000
0.500 0.500 0.500
```